Here is a geometry-optimized BiPd3O6 structure from Alexandria. Energies are from PBE-GGA.

Properties
Calculated volume: 129 Å³ per cell
Space group: Cmmm (65)
Energy: -5.53 eV per atom
Formation energy (no corrections): -0.61 eV per atom
DOS(E_F): 0.38 states/eV per atom

```
BiPd3O6
1.0
-1.078 3.107 0.966
-5.974 -1.702 -1.190
1.467 -1.357 6.000
Bi O Pd
1 6 3
direct
0.000 0.500 0.500 Bi
0.000 0.334 0.073 O
0.500 0.662 0.338 O
0.000 0.666 0.927 O
0.000 0.927 0.666 O
0.500 0.338 0.662 O
0.000 0.073 0.334 O
0.500 0.000 0.500 Pd
0.500 0.500 0.000 Pd
0.000 0.000 0.000 Pd
```

Here is a geometry-optimized Nd3CuO5 structure from Alexandria. Energies are from PBE-GGA.

Properties
Calculated volume: 247 Å³ per cell
Space group: I4/mcm (140)
Energy: -7.41 eV per atom
Formation energy (no corrections): -2.61 eV per atom

```
Nd3CuO5
1.0
6.617 0.000 0.000
0.000 6.617 0.000
-3.308 -3.308 5.653
O Cu Nd
10 2 6
direct
0.000 0.000 0.000 O
0.199 0.026 0.725 O
0.801 0.974 0.275 O
0.301 0.801 0.275 O
0.974 0.474 0.275 O
0.474 0.301 0.275 O
0.026 0.526 0.725 O
0.526 0.699 0.725 O
0.500 0.500 0.000 O
0.699 0.199 0.725 O
0.750 0.250 0.500 Cu
0.250 0.750 0.500 Cu
0.836 0.664 0.000 Nd
0.336 0.836 0.000 Nd
0.750 0.750 0.500 Nd
0.250 0.250 0.500 Nd
0.664 0.164 0.000 Nd
0.164 0.336 0.000 Nd
```

Here is a geometry-optimized TbNdSm3 structure from Alexandria. Energies are from PBE-GGA.

Properties
Calculated volume: 340 Å³ per cell
Space group: P-1 (2)
Energy relative to the elements: 0.027 eV/atom
Energy: -4.68 eV per atom
Energy above the most stable polymorph in this dataset: 0.000 eV/atom
DOS(E_F): 1.72 states/eV per atom

```
TbNdSm3
1.0
6.354 0.015 -0.007
-3.198 7.192 -5.670
0.014 -2.144 9.130
Nd Sm Tb
2 6 2
direct
0.634 0.101 0.252 Nd
0.366 0.899 0.748 Nd
0.567 0.301 0.753 Sm
0.433 0.699 0.247 Sm
0.766 0.701 0.752 Sm
0.835 0.501 0.251 Sm
0.165 0.499 0.749 Sm
0.234 0.299 0.248 Sm
0.035 0.901 0.252 Tb
0.965 0.099 0.748 Tb
```